# 1
# Mg2WCl

Mg2WCl after structural relaxation (PBE, Alexandria via LeMat-Bulk).

abc: 2.990 2.990 8.687
angles: 90.00 90.00 90.00
Atoms (fractional coordinates):
Mg 0.000 0.000 0.000
Mg 0.500 0.500 0.272
W 0.000 0.000 0.501
Cl 0.500 0.500 0.690

Properties
Space group: P4mm, No. 99
Volume, Å³ per cell: 77.66
Energy relative to the lowest polymorph listed for this composition, meV/atom: 534

=====

# 2
# MgW3Cl

MgW3Cl after structural relaxation (PBE, Alexandria via LeMat-Bulk).

abc: 4.699 4.699 4.699
angles: 90.00 90.00 90.00
Atoms (fractional coordinates):
Mg 0.000 0.000 0.000
W 0.000 0.000 0.500
W 0.000 0.500 0.000
W 0.500 0.000 0.000
Cl 0.500 0.500 0.500

Properties
Space group: Pm-3m, No. 221
Volume, Å³ per cell: 103.76
Energy relative to the lowest polymorph listed for this composition, meV/atom: 1637

=====

Which formula does entry 2 have? MgW3Cl

=====

The highest volume belongs to which entry? MgW3Cl